The following is a meta-GGA SCAN calculation of a PBEsol-optimized structure of Ag3B5O9, from Alexandria via LeMat-Bulk.

Unit cell a=6.7627 b=9.1183 c=10.8668 alpha=90.00 beta=90.00 gamma=90.00
Last column: nearest neighbours and their distance in Å.
Fractional positions:
Ag: 0.8480 0.7381 0.7917  2 O 2.12-2.16
Ag: 0.6520 0.2619 0.2917  2 O 2.12-2.16
Ag: 0.3480 0.7619 0.2083  2 O 2.12-2.16
Ag: 0.1520 0.2381 0.7083  2 O 2.12-2.16
Ag: 0.5801 0.6971 0.9884  2 O 2.21-2.32
Ag: 0.9199 0.3029 0.4884  2 O 2.21-2.32
Ag: 0.0801 0.8029 0.0116  2 O 2.21-2.32
Ag: 0.4199 0.1971 0.5116  2 O 2.21-2.32
Ag: 0.0134 0.5668 0.6021  4 O 2.36-2.51
Ag: 0.4866 0.4332 0.1021  4 O 2.36-2.51
Ag: 0.5134 0.9332 0.3979  4 O 2.36-2.51
Ag: 0.9866 0.0668 0.8979  4 O 2.36-2.51
B: 0.5292 0.9549 0.7227  4 O 1.43-1.57
B: 0.9708 0.0451 0.2227  4 O 1.43-1.57
B: 0.0292 0.5451 0.2773  4 O 1.43-1.57
B: 0.4708 0.4549 0.7773  4 O 1.43-1.57
B: 0.3266 0.7328 0.7667  3 O 1.43-1.47
B: 0.1734 0.2672 0.2667  3 O 1.43-1.47
B: 0.8266 0.7672 0.2333  3 O 1.43-1.47
B: 0.6734 0.2328 0.7333  3 O 1.43-1.47
B: 0.8482 0.0173 0.6159  4 O 1.45-1.48
B: 0.6518 0.9827 0.1159  4 O 1.45-1.48
B: 0.3482 0.4827 0.3841  4 O 1.45-1.48
B: 0.1518 0.5173 0.8841  4 O 1.45-1.48
B: 0.7955 0.4132 0.8939  4 O 1.46-1.49
B: 0.7045 0.5868 0.3939  4 O 1.46-1.49
B: 0.2955 0.0868 0.1061  4 O 1.46-1.49
B: 0.2045 0.9132 0.6061  4 O 1.46-1.49
B: 0.4902 0.5822 0.5792  3 O 1.36-1.43
B: 0.0098 0.4178 0.0792  3 O 1.36-1.43
B: 0.9902 0.9178 0.4208  3 O 1.36-1.43
B: 0.5098 0.0822 0.9208  3 O 1.36-1.43
O: 0.9423 0.5221 0.8472  2 B 1.47-1.49
O: 0.5577 0.4779 0.3472  2 B 1.47-1.49
O: 0.4423 0.9779 0.1528  2 B 1.47-1.49
O: 0.0577 0.0221 0.6528  2 B 1.47-1.49
O: 0.6681 0.6126 0.5271  2 B 1.36-1.49
O: 0.8319 0.3874 0.0271  2 B 1.36-1.49
O: 0.1681 0.8874 0.4729  2 B 1.36-1.49
O: 0.3319 0.1126 0.9729  2 B 1.36-1.49
O: 0.4513 0.8495 0.8078  2 B 1.43
O: 0.0487 0.1505 0.3078  2 B 1.43
O: 0.9513 0.6505 0.1922  2 B 1.43
O: 0.5487 0.3495 0.6922  2 B 1.43
O: 0.7340 0.9205 0.6946  2 B 1.45
O: 0.7660 0.0795 0.1946  2 B 1.45
O: 0.2340 0.5795 0.3054  2 B 1.45
O: 0.2660 0.4205 0.8054  2 B 1.45
O: 0.7382 0.8344 0.1236  2 B 1.47-1.48
O: 0.7618 0.1656 0.6236  2 B 1.47-1.48
O: 0.2382 0.6656 0.8764  2 B 1.47-1.48
O: 0.2618 0.3344 0.3764  2 B 1.47-1.48
O: 0.3330 0.5302 0.5142  2 B 1.36-1.48
O: 0.1670 0.4698 0.0142  2 B 1.36-1.48
O: 0.8330 0.9698 0.4858  2 B 1.36-1.48
O: 0.6670 0.0302 0.9858  2 B 1.36-1.48
O: 0.4653 0.6058 0.7082  2 B 1.43-1.57
O: 0.0347 0.3942 0.2082  2 B 1.43-1.57
O: 0.9653 0.8942 0.2918  2 B 1.43-1.57
O: 0.5347 0.1058 0.7918  2 B 1.43-1.57
O: 0.1880 0.7747 0.6732  2 B 1.43-1.46
O: 0.3120 0.2253 0.1732  2 B 1.43-1.46
O: 0.6880 0.7253 0.3268  2 B 1.43-1.46
O: 0.8120 0.2747 0.8268  2 B 1.43-1.46
O: 0.4051 0.9743 0.6143  2 B 1.46-1.47
O: 0.0949 0.0257 0.1143  2 B 1.46-1.47
O: 0.9051 0.5257 0.3857  2 B 1.46-1.47
O: 0.5949 0.4743 0.8857  2 B 1.46-1.47

Values from the calculation:
uncorrected formation energy = -1.985 eV per atom
uncorrected energy = -13.00 eV/atom
spin magnetization = 0.0 μB per cell
space group = P2_12_12_1
V = 167.5 Å³/f.u.


The following is a meta-GGA SCAN calculation of a PBEsol-optimized structure of SrMgScRu2, from Alexandria via LeMat-Bulk.

Unit cell a=4.7549 b=4.7549 c=4.8453 alpha=90.00 beta=90.00 gamma=90.00
Last column: nearest neighbours and their distance in Å.
Fractional positions:
Sc: 0.0000 0.0000 0.5000  2 Mg 2.42
Ru: 0.0000 0.5000 0.0000  2 Mg 2.38
Ru: 0.5000 0.0000 0.0000  2 Mg 2.38
Mg: 0.0000 0.0000 0.0000  4 Ru 2.38, 2 Sc 2.42
Sr: 0.5000 0.5000 0.5000  4 Sc 3.36, 8 Ru 3.39

Values from the calculation:
uncorrected energy = -21.24 eV/atom
relative energy among the computed polymorphs = 231 meV/atom
spin magnetization = 1.0 μB per cell
space group = P4/mmm
DFT formation energy = 0.983 eV/atom
V = 109.5 Å³/f.u.


The following is a meta-GGA SCAN calculation of a PBEsol-optimized structure of LaCdP2, from Alexandria via LeMat-Bulk.

Unit cell a=4.5067 b=4.9078 c=4.9078 alpha=69.73 beta=62.67 gamma=62.67
Last column: nearest neighbours and their distance in Å.
Fractional positions:
Cd: 0.5000 0.0000 0.0000  4 P 2.68
La: 0.0000 0.5000 0.5000  8 P 2.94-3.16
P: 0.2178 0.7822 0.7822  2 Cd 2.68, 1 P 2.91, 2 La 2.94
P: 0.7822 0.2178 0.2178  2 Cd 2.68, 1 P 2.91, 2 La 2.94

Values from the calculation:
uncorrected energy = -24.18 eV/atom
relative energy among the computed polymorphs = 0 meV/atom
spin magnetization = 0.0 μB per cell
space group = Immm
DFT formation energy = -0.599 eV/atom
V = 84.4 Å³/f.u.


The following is a meta-GGA SCAN calculation of a PBEsol-optimized structure of CaTa2Os, from Alexandria via LeMat-Bulk.

Unit cell a=3.1194 b=4.7290 c=4.7290 alpha=90.00 beta=90.00 gamma=90.00
Last column: nearest neighbours and their distance in Å.
Fractional positions:
Ca: 0.5000 0.5000 0.5000  8 Ta 2.83, 2 Ca 3.12
Os: 0.5000 0.0000 0.0000  8 Ta 2.83, 2 Os 3.12
Ta: 0.0000 0.0000 0.5000  4 Os 2.83, 4 Ca 2.83, 2 Ta 3.12
Ta: 0.0000 0.5000 0.0000  4 Ca 2.83, 4 Os 2.83, 2 Ta 3.12

Values from the calculation:
uncorrected energy = -53.07 eV/atom
relative energy among the computed polymorphs = 0 meV/atom
spin magnetization = 0.0 μB per cell
space group = P4/mmm
DFT formation energy = 0.606 eV/atom
V = 69.8 Å³/f.u.


The following is a meta-GGA SCAN calculation of a PBEsol-optimized structure of ZrCo2Pt, from Alexandria via LeMat-Bulk.

Unit cell a=3.8453 b=3.8453 c=4.6149 alpha=114.62 beta=114.62 gamma=90.00
Last column: nearest neighbours and their distance in Å.
Fractional positions:
Co: 0.2500 0.7500 0.5000  4 Pt 2.68, 4 Zr 2.68, 4 Co 2.72
Co: 0.7500 0.2500 0.5000  4 Zr 2.68, 4 Pt 2.68, 4 Co 2.72
Zr: 0.5000 0.5000 0.0000  8 Co 2.68, 4 Pt 2.72
Pt: 0.0000 0.0000 0.0000  8 Co 2.68, 4 Zr 2.72

Values from the calculation:
uncorrected energy = -34.31 eV/atom
spin magnetization = 2.8 μB per cell
space group = I4/mmm
DFT formation energy = -0.437 eV/atom
V = 55.1 Å³/f.u.


The following is a meta-GGA SCAN calculation of a PBEsol-optimized structure of Ba4Y2Cu6O13, from Alexandria via LeMat-Bulk.

Unit cell a=5.4284 b=5.4284 c=12.3344 alpha=102.51 beta=102.51 gamma=90.91
Last column: nearest neighbours and their distance in Å.
Fractional positions:
Ba: 0.1629 0.1629 0.8086  9 O 2.69-2.97
Ba: 0.6457 0.6457 0.8086  9 O 2.69-2.97
Ba: 0.8371 0.8371 0.1914  9 O 2.69-2.97
Ba: 0.3543 0.3543 0.1914  9 O 2.69-2.97
Y: 0.0000 0.0000 0.5000  8 O 2.36-2.40
Y: 0.5000 0.5000 0.5000  8 O 2.36-2.40
Cu: 0.5702 0.0673 0.6374  4 O 1.91-1.95
Cu: 0.0673 0.5702 0.6374  4 O 1.91-1.95
Cu: 0.4298 0.9327 0.3626  4 O 1.91-1.95
Cu: 0.9327 0.4298 0.3626  4 O 1.91-1.95
Cu: 0.2578 0.7422 0.0000  3 O 1.81-1.87
Cu: 0.7422 0.2578 0.0000  3 O 1.81-1.87
O: 0.3118 0.3118 0.6236  2 Cu 1.95
O: 0.8097 0.8097 0.6193  2 Cu 1.93
O: 0.3103 0.8103 0.6207  2 Cu 1.91
O: 0.8103 0.3103 0.6207  2 Cu 1.91
O: 0.1903 0.1903 0.3807  2 Cu 1.93
O: 0.6882 0.6882 0.3764  2 Cu 1.95
O: 0.1897 0.6897 0.3793  2 Cu 1.91
O: 0.6897 0.1897 0.3793  2 Cu 1.91
O: 0.6949 0.1523 0.8473  1 Cu 1.81
O: 0.1523 0.6949 0.8473  1 Cu 1.81
O: 0.3051 0.8477 0.1527  1 Cu 1.81
O: 0.8477 0.3051 0.1527  1 Cu 1.81
O: 0.5000 0.5000 0.0000  2 Cu 1.87

Values from the calculation:
uncorrected formation energy = -2.094 eV per atom
uncorrected energy = -17.54 eV/atom
relative energy among the computed polymorphs = 6 meV/atom
spin magnetization = 0.0 μB per cell
space group = Fmmm
V = 345.7 Å³/f.u.


The following is a meta-GGA SCAN calculation of a PBEsol-optimized structure of BeFe, from Alexandria via LeMat-Bulk.

Unit cell a=2.4092 b=3.6826 c=4.1322 alpha=90.00 beta=97.95 gamma=90.00
Last column: nearest neighbours and their distance in Å.
Fractional positions:
Be: 0.0056 0.7500 0.6457  4 Be 2.20-2.41, 7 Fe 2.22-2.39
Be: 0.9944 0.2500 0.3543  4 Be 2.20-2.41, 7 Fe 2.22-2.39
Fe: 0.4088 0.7500 0.1610  7 Be 2.22-2.39, 4 Fe 2.35-2.41
Fe: 0.5912 0.2500 0.8390  7 Be 2.22-2.39, 4 Fe 2.35-2.41

Values from the calculation:
uncorrected energy = -11.43 eV/atom
spin magnetization = 4.3 μB per cell
space group = P2_1/m
DFT formation energy = -0.184 eV/atom
V = 18.2 Å³/f.u.


The following is a meta-GGA SCAN calculation of a PBEsol-optimized structure of MoPRh, from Alexandria via LeMat-Bulk.

Unit cell a=3.8914 b=5.8852 c=6.9625 alpha=90.00 beta=90.00 gamma=90.00
Last column: nearest neighbours and their distance in Å.
Fractional positions:
P: 0.7500 0.7525 0.1147  4 Rh 2.27-2.44, 1 Mo 2.33
P: 0.2500 0.2475 0.8853  4 Rh 2.27-2.44, 1 Mo 2.33
P: 0.7500 0.2525 0.3853  4 Rh 2.27-2.44, 1 Mo 2.33
P: 0.2500 0.7475 0.6147  4 Rh 2.27-2.44, 1 Mo 2.33
Mo: 0.2500 0.0316 0.1664  3 P 2.33-2.57
Mo: 0.7500 0.9684 0.8336  3 P 2.33-2.57
Mo: 0.2500 0.5316 0.3336  3 P 2.33-2.57
Mo: 0.7500 0.4684 0.6664  3 P 2.33-2.57
Rh: 0.7500 0.3619 0.0723  4 P 2.27-2.44
Rh: 0.2500 0.6381 0.9277  4 P 2.27-2.44
Rh: 0.7500 0.8619 0.4277  4 P 2.27-2.44
Rh: 0.2500 0.1381 0.5723  4 P 2.27-2.44

Values from the calculation:
uncorrected energy = -26.99 eV/atom
spin magnetization = 0.0 μB per cell
space group = Pnma
DFT formation energy = -0.643 eV/atom
V = 39.9 Å³/f.u.